1.
{
  "formula": "NaZnBiPb",
  "functional": "PBE",
  "state": "optimized geometry",
  "lattice_angstrom": [[0.000, 3.847, 3.847], [3.847, 0.000, 3.847], [3.847, 3.847, 0.000]],
  "species": ["Na", "Zn", "Bi", "Pb"],
  "frac_coords": [[0.000, 0.000, 0.000], [0.750, 0.750, 0.750], [0.250, 0.250, 0.250], [0.500, 0.500, 0.500]],
  "space_group": "F-43m, No. 216",
  "e_form_mev_per_atom": -39
}

***

2.
{
  "formula": "NaGa5Pt2",
  "functional": "PBE",
  "state": "optimized geometry",
  "lattice_angstrom": [[-1.924, 3.778, 5.131], [1.924, -3.778, 5.131], [1.924, 3.778, -5.131]],
  "species": ["Na", "Ga", "Ga", "Ga", "Ga", "Ga", "Pt", "Pt"],
  "frac_coords": [[0.000, 0.000, 0.000], [0.153, 0.358, 0.794], [0.436, 0.642, 0.794], [0.500, 0.000, 0.500], [0.564, 0.358, 0.206], [0.847, 0.642, 0.206], [0.260, 0.760, 0.500], [0.740, 0.240, 0.500]],
  "space_group": "Immm, No. 71",
  "e_form_mev_per_atom": -437
}

***

3.
{
  "formula": "CdHgTe",
  "functional": "PBE",
  "state": "optimized geometry",
  "lattice_angstrom": [[0.000, 3.574, 3.574], [3.574, 0.000, 3.574], [3.574, 3.574, 0.000]],
  "species": ["Cd", "Hg", "Te"],
  "frac_coords": [[0.000, 0.000, 0.000], [0.250, 0.250, 0.250], [0.750, 0.750, 0.750]],
  "e_form_raw_mev_per_atom": -90,
  "space_group": "F-43m, No. 216",
  "de_polymorph_ev_per_atom": 0.045
}

***

4.
{
  "formula": "Y3AlMo",
  "functional": "PBE",
  "state": "optimized geometry",
  "lattice_angstrom": [[5.322, 0.000, 0.000], [0.000, 5.322, 0.000], [0.000, 0.000, 5.322]],
  "species": ["Y", "Y", "Y", "Al", "Mo"],
  "frac_coords": [[0.000, 0.000, 0.500], [0.000, 0.500, 0.000], [0.500, 0.000, 0.000], [0.500, 0.500, 0.500], [0.000, 0.000, 0.000]],
  "space_group": "Pm-3m, No. 221",
  "e_form_mev_per_atom": 514,
  "de_polymorph_ev_per_atom": 0.000
}

***

5.
{
  "formula": "LiTa2P",
  "functional": "PBE",
  "state": "optimized geometry",
  "lattice_angstrom": [[0.000, 3.136, 3.136], [3.136, 0.000, 3.136], [3.136, 3.136, 0.000]],
  "species": ["Li", "Ta", "Ta", "P"],
  "frac_coords": [[0.000, 0.000, 0.000], [0.500, 0.500, 0.500], [0.750, 0.750, 0.750], [0.250, 0.250, 0.250]],
  "space_group": "F-43m, No. 216",
  "e_form_mev_per_atom": 248
}

***

6.
{
  "formula": "Tm2ScCu2",
  "functional": "PBE",
  "state": "optimized geometry",
  "lattice_angstrom": [[-1.861, 3.144, 4.665], [1.861, -3.144, 4.665], [1.861, 3.144, -4.665]],
  "species": ["Tm", "Tm", "Sc", "Cu", "Cu"],
  "frac_coords": [[0.202, 0.202, 0.000], [0.798, 0.798, 0.000], [0.500, 0.000, 0.500], [0.199, 0.500, 0.699], [0.801, 0.500, 0.301]],
  "space_group": "Immm, No. 71",
  "e_form_mev_per_atom": -149,
  "de_polymorph_ev_per_atom": 0.034
}

***

7.
{
  "formula": "HfMn4Ni15",
  "functional": "PBE",
  "state": "optimized geometry",
  "lattice_angstrom": [[3.610, 0.000, 0.000], [0.000, 3.610, 0.000], [0.000, 0.000, 17.928]],
  "species": ["Hf", "Mn", "Mn", "Mn", "Mn", "Ni", "Ni", "Ni", "Ni", "Ni", "Ni", "Ni", "Ni", "Ni", "Ni", "Ni", "Ni", "Ni", "Ni", "Ni"],
  "frac_coords": [[0.000, 0.000, 0.000], [0.000, 0.000, 0.206], [0.000, 0.000, 0.402], [0.000, 0.000, 0.598], [0.000, 0.000, 0.794], [0.000, 0.500, 0.107], [0.000, 0.500, 0.304], [0.000, 0.500, 0.500], [0.000, 0.500, 0.696], [0.000, 0.500, 0.893], [0.500, 0.000, 0.107], [0.500, 0.000, 0.304], [0.500, 0.000, 0.500], [0.500, 0.000, 0.696], [0.500, 0.000, 0.893], [0.500, 0.500, 0.000], [0.500, 0.500, 0.205], [0.500, 0.500, 0.402], [0.500, 0.500, 0.598], [0.500, 0.500, 0.795]],
  "space_group": "P4/mmm, No. 123",
  "e_form_mev_per_atom": -177
}

***

8.
{
  "formula": "Ho2Al5Rh3",
  "functional": "PBE",
  "state": "optimized geometry",
  "lattice_angstrom": [[2.117, -12.388, 0.000], [2.117, 12.388, 0.000], [0.000, 0.000, 6.777]],
  "species": ["Ho", "Ho", "Ho", "Ho", "Al", "Al", "Al", "Al", "Al", "Al", "Al", "Al", "Al", "Al", "Rh", "Rh", "Rh", "Rh", "Rh", "Rh"],
  "frac_coords": [[0.023, 0.977, 0.500], [0.325, 0.675, 0.573], [0.675, 0.325, 0.073], [0.977, 0.023, 0.000], [0.100, 0.900, 0.876], [0.207, 0.793, 0.391], [0.212, 0.788, 0.784], [0.371, 0.629, 0.038], [0.445, 0.555, 0.670], [0.555, 0.445, 0.170], [0.629, 0.371, 0.538], [0.788, 0.212, 0.284], [0.793, 0.207, 0.891], [0.900, 0.100, 0.376], [0.110, 0.890, 0.257], [0.270, 0.730, 0.091], [0.452, 0.548, 0.288], [0.548, 0.452, 0.788], [0.730, 0.270, 0.591], [0.890, 0.110, 0.757]],
  "space_group": "Cmc2_1, No. 36",
  "e_form_mev_per_atom": -825
}